(1)
VASP calculation (PBE-GGA) on a geometry-optimized SrSiTe2 structure.

a b c (Å): 6.548 6.548 6.548
angles (deg): 139.90 139.90 58.00
Fractional positions:
Sr 0.000 0.000 0.000
Si 0.750 0.250 0.500
Te 0.250 0.750 0.500
Te 0.500 0.500 0.000

Output
theoretical density = 5.34 Mg/m³
SG = I-4m2, No. 119
E_form (uncorrected) = -0.35 eV per atom
electronic total energy = -3.698 eV/atom



(2)
VASP calculation (PBE-GGA) on a geometry-optimized Tm2MnIr3 structure.

a b c (Å): 5.424 5.424 8.206
angles (deg): 90.00 90.00 120.00
Fractional positions:
Tm 0.333 0.667 0.064
Tm 0.333 0.667 0.436
Tm 0.667 0.333 0.564
Tm 0.667 0.333 0.936
Mn 0.000 0.000 0.000
Mn 0.000 0.000 0.500
Ir 0.169 0.339 0.750
Ir 0.169 0.831 0.750
Ir 0.339 0.169 0.250
Ir 0.661 0.831 0.750
Ir 0.831 0.169 0.250
Ir 0.831 0.661 0.250

Output
formation enthalpy at 0 K = -0.76 eV/atom
theoretical density = 15.40 Mg/m³
SG = P6_3/mmc, No. 194
electronic total energy = -8.210 eV/atom



(3)
VASP calculation (PBE-GGA) on a geometry-optimized Pm6P3SeS2 structure.

a b c (Å): 9.223 9.223 8.251
angles (deg): 103.39 103.39 25.73
Fractional positions:
Pm 0.001 0.001 0.238
Pm 0.329 0.329 0.420
Pm 0.335 0.335 0.913
Pm 0.665 0.665 0.087
Pm 0.671 0.671 0.580
Pm 0.999 0.999 0.762
P 0.166 0.166 0.332
P 0.500 0.500 0.000
P 0.834 0.834 0.668
Se 0.500 0.500 0.500
S 0.167 0.167 0.833
S 0.833 0.833 0.167

Output
theoretical density = 6.20 Mg/m³
SG = C2/m, No. 12
E_form (uncorrected) = -1.83 eV per atom
electronic total energy = -6.541 eV/atom



(4)
VASP calculation (PBE-GGA) on a geometry-optimized SmGdTmAl structure.

a b c (Å): 5.369 5.369 5.369
angles (deg): 60.00 60.00 60.00
Fractional positions:
Sm 0.000 0.000 0.000
Gd 0.500 0.500 0.500
Tm 0.250 0.250 0.250
Al 0.750 0.750 0.750

Output
formation enthalpy at 0 K = -0.08 eV/atom
theoretical density = 7.64 Mg/m³
SG = F-43m, No. 216
electronic total energy = -6.837 eV/atom



(5)
VASP calculation (PBE-GGA) on a geometry-optimized Pm2Al3HgAu4 structure.

a b c (Å): 4.424 4.424 10.884
angles (deg): 90.00 90.00 90.00
Fractional positions:
Pm 0.000 0.500 0.245
Pm 0.500 0.000 0.755
Al 0.000 0.500 0.877
Al 0.500 0.000 0.123
Al 0.500 0.500 0.500
Hg 0.000 0.000 0.500
Au 0.000 0.000 0.000
Au 0.000 0.500 0.652
Au 0.500 0.000 0.348
Au 0.500 0.500 0.000

Output
formation enthalpy at 0 K = -0.61 eV/atom
theoretical density = 10.60 Mg/m³
SG = P-4m2, No. 115
electronic total energy = -4.026 eV/atom



(6)
VASP calculation (PBE-GGA) on a geometry-optimized CaMn2Rh structure.

a b c (Å): 4.642 4.642 4.642
angles (deg): 60.00 60.00 60.00
Fractional positions:
Ca 0.000 0.000 0.000
Mn 0.500 0.500 0.500
Mn 0.750 0.750 0.750
Rh 0.250 0.250 0.250

Output
formation enthalpy at 0 K = 0.28 eV/atom
theoretical density = 5.94 Mg/m³
SG = F-43m, No. 216
electronic total energy = -6.639 eV/atom



(7)
VASP calculation (PBE-GGA) on a geometry-optimized HfNb2Tc structure.

a b c (Å): 5.974 5.974 5.974
angles (deg): 102.63 102.63 124.25
Fractional positions:
Hf 0.000 0.000 0.000
Hf 0.750 0.250 0.500
Nb 0.162 0.625 0.037
Nb 0.375 0.412 0.537
Nb 0.588 0.125 0.963
Nb 0.875 0.838 0.463
Tc 0.250 0.750 0.500
Tc 0.500 0.500 0.000

Output
formation enthalpy at 0 K = 0.35 eV/atom
theoretical density = 9.86 Mg/m³
SG = I-42d, No. 122
electronic total energy = -9.760 eV/atom
energy above the most stable polymorph in this dataset = 630 meV per atom



(8)
VASP calculation (PBE-GGA) on a geometry-optimized AlCr4Se structure.

a b c (Å): 4.857 4.857 4.857
angles (deg): 60.00 60.00 60.00
Fractional positions:
Al 0.000 0.000 0.000
Cr 0.375 0.375 0.375
Cr 0.375 0.375 0.875
Cr 0.375 0.875 0.375
Cr 0.875 0.375 0.375
Se 0.750 0.750 0.750

Output
theoretical density = 6.43 Mg/m³
SG = F-43m, No. 216
E_form (uncorrected) = 0.36 eV per atom
electronic total energy = -7.257 eV/atom



(9)
VASP calculation (PBE-GGA) on a geometry-optimized GaPdPt3 structure.

a b c (Å): 6.817 6.817 9.024
angles (deg): 102.81 102.81 57.53
Fractional positions:
Ga 0.000 0.500 0.000
Ga 0.046 0.954 0.750
Ga 0.500 0.000 0.500
Ga 0.954 0.046 0.250
Pd 0.030 0.189 0.544
Pd 0.189 0.030 0.044
Pd 0.811 0.970 0.956
Pd 0.970 0.811 0.456
Pt 0.148 0.331 0.306
Pt 0.276 0.586 0.908
Pt 0.282 0.425 0.609
Pt 0.331 0.148 0.806
Pt 0.414 0.724 0.592
Pt 0.425 0.282 0.109
Pt 0.575 0.718 0.891
Pt 0.586 0.276 0.408
Pt 0.669 0.852 0.194
Pt 0.718 0.575 0.391
Pt 0.724 0.414 0.092
Pt 0.852 0.669 0.694

Output
formation enthalpy at 0 K = -0.19 eV/atom
theoretical density = 14.78 Mg/m³
SG = C2/c, No. 15
electronic total energy = -5.456 eV/atom
energy above the most stable polymorph in this dataset = 158 meV per atom



(10)
VASP calculation (PBE-GGA) on a geometry-optimized Ac3GaN4 structure.

a b c (Å): 7.938 7.067 5.944
angles (deg): 90.00 90.00 90.00
Fractional positions:
Ac 0.000 0.132 0.000
Ac 0.246 0.331 0.500
Ac 0.254 0.669 0.000
Ac 0.500 0.868 0.500
Ac 0.746 0.669 0.000
Ac 0.754 0.331 0.500
Ga 0.000 0.824 0.485
Ga 0.500 0.176 0.985
N 0.000 0.107 0.566
N 0.000 0.811 0.147
N 0.221 0.690 0.576
N 0.279 0.310 0.076
N 0.500 0.189 0.647
N 0.500 0.893 0.066
N 0.721 0.310 0.076
N 0.779 0.690 0.576

Output
theoretical density = 8.04 Mg/m³
SG = Pmn2_1, No. 31
E_form (uncorrected) = -0.81 eV per atom
electronic total energy = -6.895 eV/atom



(11)
VASP calculation (PBE-GGA) on a geometry-optimized Pr4PCBr2 structure.

a b c (Å): 7.058 4.004 7.814
angles (deg): 90.00 107.15 90.00
Fractional positions:
Pr 0.208 0.000 0.188
Pr 0.243 0.500 0.806
Pr 0.757 0.500 0.194
Pr 0.792 0.000 0.812
P 0.500 0.000 0.000
C 0.000 0.500 0.000
Br 0.000 0.000 0.500
Br 0.500 0.500 0.500

Output
theoretical density = 6.03 Mg/m³
SG = P2/m, No. 10
E_form (uncorrected) = -1.18 eV per atom
electronic total energy = -5.816 eV/atom



(12)
VASP calculation (PBE-GGA) on a geometry-optimized LiHIN2 structure.

a b c (Å): 3.610 3.610 6.353
angles (deg): 90.00 90.00 90.00
Fractional positions:
Li 0.000 0.000 0.000
H 0.500 0.500 0.500
I 0.000 0.000 0.500
N 0.000 0.500 0.000
N 0.500 0.000 0.000

Output
theoretical density = 3.27 Mg/m³
SG = P4/mmm, No. 123
electronic total energy = -2.754 eV/atom
energy above the most stable polymorph in this dataset = 131 meV per atom



Question: Among the records above, which one has the highest electronic total energy?
Answer: LiHIN2



Question: electronic total energy of number 11 (Pr4PCBr2)?
Answer: -5.816 eV/atom



Question: The lowest theoretical density belongs to which entry?
Answer: LiHIN2



Question: Number 5 is which compound?
Answer: Pm2Al3HgAu4